Model 1:
Computed, not measured: crystalline AlHRu3 at its relaxed geometry at the GGA-PBE level of DFT.

Cell and atoms, written as CIF:
```
data_AlHRu3
_cell_length_a 4.4767
_cell_length_b 4.4767
_cell_length_c 4.4767
_cell_angle_alpha 90.00
_cell_angle_beta 90.00
_cell_angle_gamma 90.00
_space_group_name_H-M_alt 'P m -3 m'
_space_group_IT_number 221
_space_group_name_Hall '-P 4 2 3'
loop_
_atom_site_label
_atom_site_type_symbol
_atom_site_fract_x
_atom_site_fract_y
_atom_site_fract_z
Al1 Al 0.0000 0.0000 0.0000
H1 H 0.5000 0.5000 0.5000
Ru1 Ru 0.0000 0.0000 0.5000
```

Volume in A^3/atom: 17.94

***

Model 2:
Computed, not measured: crystalline AlHRu3 at its relaxed geometry at the GGA-PBE level of DFT.

Cell and atoms, written as CIF:
```
data_AlHRu3
_cell_length_a 3.8885
_cell_length_b 3.8885
_cell_length_c 3.8885
_cell_angle_alpha 90.00
_cell_angle_beta 90.00
_cell_angle_gamma 90.00
_space_group_name_H-M_alt 'P m -3 m'
_space_group_IT_number 221
_space_group_name_Hall '-P 4 2 3'
loop_
_atom_site_label
_atom_site_type_symbol
_atom_site_fract_x
_atom_site_fract_y
_atom_site_fract_z
Al1 Al 0.0000 0.0000 0.0000
H1 H 0.5000 0.5000 0.5000
Ru1 Ru 0.0000 0.5000 0.5000
```

Volume in A^3/atom: 11.76

***

model 2 ends up most stable, edging out the next structure by 1964 meV/atom.

***

Model 1:
Computed, not measured: crystalline AlHRu2 at its relaxed geometry at the GGA-PBE level of DFT.

Cell and atoms, written as CIF:
```
data_AlHRu2
_cell_length_a 5.7584
_cell_length_b 5.7584
_cell_length_c 5.7584
_cell_angle_alpha 90.00
_cell_angle_beta 90.00
_cell_angle_gamma 90.00
_space_group_name_H-M_alt 'F m -3 m'
_space_group_IT_number 225
_space_group_name_Hall '-F 4 2 3'
loop_
_atom_site_label
_atom_site_type_symbol
_atom_site_fract_x
_atom_site_fract_y
_atom_site_fract_z
Al1 Al 0.0000 0.0000 0.0000
H1 H 0.0000 0.0000 0.5000
Ru1 Ru 0.2500 0.2500 0.2500
```

Volume in A^3/atom: 11.93

***

Model 2:
Computed, not measured: crystalline AlHRu2 at its relaxed geometry at the GGA-PBE level of DFT.

Cell and atoms, written as CIF:
```
data_AlHRu2
_cell_length_a 5.9918
_cell_length_b 5.9918
_cell_length_c 5.0869
_cell_angle_alpha 90.00
_cell_angle_beta 90.00
_cell_angle_gamma 90.00
_space_group_name_H-M_alt 'I -4 2 d'
_space_group_IT_number 122
_space_group_name_Hall 'I -4 2bw'
loop_
_atom_site_label
_atom_site_type_symbol
_atom_site_fract_x
_atom_site_fract_y
_atom_site_fract_z
Al1 Al 0.0000 0.0000 0.0000
H1 H 0.0000 0.0000 0.5000
Ru1 Ru 0.1569 0.7500 0.6250
```

Volume in A^3/atom: 11.41

***

model 2 ends up most stable, edging out the next structure by 437 meV/atom.

***

Model 1:
Computed, not measured: crystalline AlHRu2 at its relaxed geometry at the GGA-PBE level of DFT.

Cell and atoms, written as CIF:
```
data_AlHRu2
_cell_length_a 2.8105
_cell_length_b 2.8105
_cell_length_c 19.3284
_cell_angle_alpha 90.00
_cell_angle_beta 90.00
_cell_angle_gamma 120.00
_space_group_name_H-M_alt 'R -3 m'
_space_group_IT_number 166
_space_group_name_Hall '-R 3 2"'
loop_
_atom_site_label
_atom_site_type_symbol
_atom_site_fract_x
_atom_site_fract_y
_atom_site_fract_z
Al1 Al 0.0000 0.0000 0.0000
H1 H 0.0000 0.0000 0.5000
Ru1 Ru 0.0000 0.0000 0.2259
```

Volume in A^3/atom: 11.02

***

Model 2:
Computed, not measured: crystalline AlHRu2 at its relaxed geometry at the GGA-PBE level of DFT.

Cell and atoms, written as CIF:
```
data_AlHRu2
_cell_length_a 2.7839
_cell_length_b 2.7839
_cell_length_c 5.8933
_cell_angle_alpha 90.00
_cell_angle_beta 90.00
_cell_angle_gamma 90.00
_space_group_name_H-M_alt 'P 4/m m m'
_space_group_IT_number 123
_space_group_name_Hall '-P 4 2'
loop_
_atom_site_label
_atom_site_type_symbol
_atom_site_fract_x
_atom_site_fract_y
_atom_site_fract_z
Al1 Al 0.0000 0.0000 0.0000
H1 H 0.0000 0.0000 0.5000
Ru1 Ru 0.5000 0.5000 0.2925
```

Volume in A^3/atom: 11.42

***

model 1 ends up most stable, edging out the next structure by 369 meV/atom.